[1]
Computed, not measured: a geometry-optimized LaPm5Dy3 structure at the GGA-PBE level of DFT.

Summary:
The calculated formation energy comes out at 0.170 eV per atom. As for the total energy: -4.551 eV per atom. Its magnetization is 0.0 μB per cell.

a b c (Å): 16.4753 6.8132 11.6648
angles (deg): 90.00 109.67 90.00
Space group C2/c (No. 15)
Symmetry-distinct sites (fractional):
La 0.0000 0.2436 0.2500 [4 per cell]
Pm 0.0000 0.3123 0.7500 [4 per cell]
Pm 0.1109 0.4960 0.0516 [8 per cell]
Pm 0.1726 0.0941 0.8508 [8 per cell]
Dy 0.0000 0.0000 0.0000 [4 per cell]
Dy 0.2417 0.3993 0.3720 [8 per cell]

[2]
Computed, not measured: a geometry-optimized Nd3H12Rh5 structure at the GGA-PBE level of DFT.

Summary:
As for the total energy: -4.907 eV per atom. Its magnetization is 0.0 μB per cell.

a b c (Å): 11.8377 11.8377 11.8377
angles (deg): 90.00 90.00 90.00
Space group Ia-3d (No. 230)
Symmetry-distinct sites (fractional):
Nd 0.0000 0.2500 0.1250 [24 per cell]
H 0.0396 0.0484 0.6360 [96 per cell]
Rh 0.0000 0.0000 0.0000 [16 per cell]
Rh 0.0000 0.2500 0.3750 [24 per cell]

[3]
Computed, not measured: a geometry-optimized Na5Pa3Br12 structure at the GGA-PBE level of DFT.

Summary:
As for the total energy: -3.876 eV per atom. The raw formation energy is -1118.3 meV/atom. Its magnetization is 63.9 μB per cell.

a b c (Å): 17.2374 17.2374 17.2374
angles (deg): 90.00 90.00 90.00
Space group Ia-3d (No. 230)
Symmetry-distinct sites (fractional):
Na 0.0000 0.0000 0.0000 [16 per cell]
Na 0.0000 0.2500 0.3750 [24 per cell]
Pa 0.0000 0.2500 0.1250 [24 per cell]
Br 0.0207 0.0707 0.6542 [96 per cell]

[4]
Computed, not measured: a geometry-optimized SiNiAsP structure at the GGA-PBE level of DFT.

Summary:
As for the total energy: -5.290 eV per atom. The raw formation energy is 25.5 meV/atom. Its magnetization is 0.0 μB per cell.

a b c (Å): 4.3199 2.7065 5.7910
angles (deg): 90.00 109.67 90.00
Space group Pm (No. 6)
Symmetry-distinct sites (fractional):
Si 0.0000 0.0000 0.0000 [1 per cell]
Ni 0.9294 0.5000 0.3272 [1 per cell]
As 0.3419 0.0000 0.6726 [1 per cell]
P 0.5154 0.0000 0.3082 [1 per cell]

[5]
Computed, not measured: a geometry-optimized BaZn4Rh structure at the GGA-PBE level of DFT.

Summary:
The calculated formation energy comes out at -0.247 eV per atom. As for the total energy: -2.642 eV per atom. Its magnetization is 0.0 μB per cell.

a b c (Å): 6.6692 6.7565 6.7944
angles (deg): 92.19 118.86 99.40
Space group P-1 (No. 2)
Symmetry-distinct sites (fractional):
Ba 0.1715 0.2913 0.2184 [2 per cell]
Zn 0.2224 0.8623 0.5605 [2 per cell]
Zn 0.2270 0.2312 0.7421 [2 per cell]
Zn 0.3589 0.6210 0.8921 [2 per cell]
Zn 0.3864 0.8601 0.2814 [2 per cell]
Rh 0.0000 0.5000 0.5000 [1 per cell]
Rh 0.5000 0.0000 0.0000 [1 per cell]

[6]
Computed, not measured: a geometry-optimized HoZr2NbN4 structure at the GGA-PBE level of DFT.

Summary:
As for the total energy: -9.633 eV per atom. The raw formation energy is -1501.9 meV/atom. Its magnetization is 0.0 μB per cell.

a b c (Å): 5.6644 3.2668 5.6678
angles (deg): 90.00 109.29 90.00
Space group P2/m (No. 10)
Symmetry-distinct sites (fractional):
Ho 0.0000 0.0000 0.0000 [1 per cell]
Zr 0.0000 0.5000 0.5000 [1 per cell]
Zr 0.5000 0.0000 0.5000 [1 per cell]
Nb 0.5000 0.5000 0.0000 [1 per cell]
N 0.2548 0.0000 0.7469 [2 per cell]
N 0.2587 0.5000 0.2598 [2 per cell]

[7]
Computed, not measured: a geometry-optimized CoBiSbI2 structure at the GGA-PBE level of DFT.

Summary:
As for the total energy: -3.281 eV per atom. The raw formation energy is 361.4 meV/atom. Its magnetization is 0.4 μB per cell.

a b c (Å): 5.2288 5.2288 5.0773
angles (deg): 90.00 90.00 90.00
Space group P4/mmm (No. 123)
Symmetry-distinct sites (fractional):
Co 0.0000 0.0000 0.0000 [1 per cell]
Bi 0.5000 0.5000 0.5000 [1 per cell]
Sb 0.0000 0.0000 0.5000 [1 per cell]
I 0.0000 0.5000 0.0000 [2 per cell]

[8]
Computed, not measured: a geometry-optimized ZnW4 structure at the GGA-PBE level of DFT.

Summary:
The calculated formation energy comes out at 0.363 eV per atom. As for the total energy: -10.254 eV per atom. Its magnetization is 0.0 μB per cell.

a b c (Å): 2.6866 2.6866 22.1707
angles (deg): 90.00 90.00 90.00
Space group I4/mmm (No. 139)
Symmetry-distinct sites (fractional):
Zn 0.0000 0.0000 0.0000 [2 per cell]
W 0.0000 0.0000 0.1986 [4 per cell]
W 0.0000 0.0000 0.4050 [4 per cell]

[9]
Computed, not measured: a geometry-optimized SrP2Br structure at the GGA-PBE level of DFT.

Summary:
As for the total energy: -4.350 eV per atom. The raw formation energy is -806.4 meV/atom. Its magnetization is 0.0 μB per cell.

a b c (Å): 8.4172 3.7101 8.2817
angles (deg): 90.00 108.34 90.00
Space group Cm (No. 8)
Symmetry-distinct sites (fractional):
Sr 0.0000 0.0000 0.0000 [2 per cell]
P 0.0886 0.5000 0.6732 [2 per cell]
P 0.2348 0.0000 0.7662 [2 per cell]
Br 0.2623 0.5000 0.2185 [2 per cell]

[10]
Computed, not measured: a geometry-optimized PmDy7Tm4 structure at the GGA-PBE level of DFT.

Summary:
The calculated formation energy comes out at -0.003 eV per atom. As for the total energy: -4.574 eV per atom. Its magnetization is 0.0 μB per cell.

a b c (Å): 6.1640 7.1207 8.7683
angles (deg): 90.02 103.56 90.02
Space group P-1 (No. 2)
Symmetry-distinct sites (fractional):
Pm 0.0000 0.0000 0.0000 [1 per cell]
Dy 0.0000 0.5000 0.0000 [1 per cell]
Dy 0.2226 0.0002 0.6650 [2 per cell]
Dy 0.2792 0.7484 0.3359 [2 per cell]
Dy 0.4996 0.2517 0.0003 [2 per cell]
Tm 0.2206 0.5000 0.6648 [2 per cell]
Tm 0.2784 0.2517 0.3353 [2 per cell]

[11]
Computed, not measured: a geometry-optimized MnCr2W structure at the GGA-PBE level of DFT.

Summary:
The calculated formation energy comes out at 0.135 eV per atom. As for the total energy: -10.207 eV per atom. Its magnetization is 2.4 μB per cell.

a b c (Å): 3.0203 4.2110 8.1022
angles (deg): 90.00 90.00 90.00
Space group Cmmm (No. 65)
Symmetry-distinct sites (fractional):
Mn 0.0000 0.0000 0.0000 [2 per cell]
Cr 0.0000 0.5000 0.2333 [4 per cell]
W 0.0000 0.0000 0.5000 [2 per cell]

[12]
Computed, not measured: a geometry-optimized Cs3NdSm3Te8 structure at the GGA-PBE level of DFT.

Summary:
As for the total energy: -4.445 eV per atom. The raw formation energy is -1336.6 meV/atom. Its magnetization is 0.0 μB per cell.

a b c (Å): 9.0656 9.0656 27.5942
angles (deg): 90.00 90.00 120.00
Space group R-3m (No. 166, hexagonal axes)
Symmetry-distinct sites (fractional):
Cs 0.0000 0.5000 0.0000 [9 per cell]
Nd 0.0000 0.0000 0.5000 [3 per cell]
Sm 0.0000 0.5000 0.5000 [9 per cell]
Te 0.0000 0.0000 0.2312 [6 per cell]
Te 0.0047 0.5023 0.7686 [18 per cell]

[13]
Computed, not measured: a geometry-optimized HoSc3Sb4 structure at the GGA-PBE level of DFT.

Summary:
As for the total energy: -5.975 eV per atom. The raw formation energy is -966.9 meV/atom. Its magnetization is 0.0 μB per cell.

a b c (Å): 5.9684 5.9684 5.9684
angles (deg): 90.00 90.00 90.00
Space group Pm-3m (No. 221)
Symmetry-distinct sites (fractional):
Ho 0.0000 0.0000 0.0000 [1 per cell]
Sc 0.0000 0.5000 0.5000 [3 per cell]
Sb 0.0000 0.0000 0.5000 [3 per cell]
Sb 0.5000 0.5000 0.5000 [1 per cell]

[14]
Computed, not measured: a geometry-optimized SrReAs2 structure at the GGA-PBE level of DFT.

Summary:
The calculated formation energy comes out at -0.087 eV per atom. As for the total energy: -5.944 eV per atom. Its magnetization is 0.0 μB per cell.

a b c (Å): 6.3999 6.3999 11.7888
angles (deg): 90.00 90.00 90.00
Space group I-42d (No. 122)
Symmetry-distinct sites (fractional):
Sr 0.0000 0.0000 0.0000 [4 per cell]
Re 0.0000 0.0000 0.5000 [4 per cell]
As 0.1505 0.2500 0.6250 [8 per cell]

[15]
Computed, not measured: a geometry-optimized LaDy5Ho2Er structure at the GGA-PBE level of DFT.

Summary:
The calculated formation energy comes out at 0.293 eV per atom. As for the total energy: -4.336 eV per atom. Its magnetization is 0.0 μB per cell.

a b c (Å): 9.0473 9.0473 14.5038
angles (deg): 90.00 90.00 90.00
Space group I4/mcm (No. 140)
Symmetry-distinct sites (fractional):
La 0.0000 0.0000 0.2500 [4 per cell]
Dy 0.0000 0.0000 0.0000 [4 per cell]
Dy 0.2036 0.2964 0.1292 [16 per cell]
Ho 0.1113 0.3887 0.5000 [8 per cell]
Er 0.0000 0.5000 0.2500 [4 per cell]

[16]
Computed, not measured: a geometry-optimized Sc5BeCo4 structure at the GGA-PBE level of DFT.

Summary:
The calculated formation energy comes out at -0.296 eV per atom. As for the total energy: -6.676 eV per atom. Its magnetization is 0.7 μB per cell.

a b c (Å): 3.1303 3.1303 15.6894
angles (deg): 90.00 90.00 90.00
Space group P4/mmm (No. 123)
Symmetry-distinct sites (fractional):
Sc 0.0000 0.0000 0.0000 [1 per cell]
Sc 0.0000 0.0000 0.1989 [2 per cell]
Sc 0.0000 0.0000 0.3963 [2 per cell]
Be 0.5000 0.5000 0.5000 [1 per cell]
Co 0.5000 0.5000 0.0994 [2 per cell]
Co 0.5000 0.5000 0.2997 [2 per cell]